Density functional theory data (PBE-GGA) for an optimized crystal structure of TbPr6Ho2Er3.

Values from the calculation:
VASP energy in eV/atom: -4.667
Crystal system: monoclinic

Lattice parameters (Å, degrees): 6.2912 10.8951 11.8423 90.00 100.17 90.00
Last column: nearest neighbours and their distance in Å.
Space group C2/m (No. 12)
One atom of each set of equivalent atoms:
Tb 0.0000 0.0000 0.0000 [2 per cell]  6 Pr 3.60, 6 Ho 3.63
Pr 0.2497 0.0000 0.7492 [4 per cell]  3 Er 3.58, 1 Tb 3.60, 2 Ho 3.60, 6 Pr 3.63
Pr 0.2504 0.1668 0.2509 [8 per cell]  3 Er 3.58, 2 Ho 3.60, 1 Tb 3.60, 6 Pr 3.63
Ho 0.0000 0.3333 0.0000 [4 per cell]  6 Pr 3.60, 3 Tb 3.63, 3 Ho 3.63
Er 0.0000 0.1666 0.5000 [4 per cell]  6 Pr 3.58, 6 Er 3.63
Er 0.0000 0.5000 0.5000 [2 per cell]  6 Pr 3.58, 6 Er 3.63

Density functional theory data (PBE-GGA) for an optimized crystal structure of Tb4Pr2HoEr.

Values from the calculation:
VASP energy in eV/atom: -4.632
Crystal system: monoclinic

Lattice parameters (Å, degrees): 5.0699 5.0926 10.1216 90.00 90.05 90.00
Last column: nearest neighbours and their distance in Å.
Space group P2/m (No. 10)
One atom of each set of equivalent atoms:
Tb 0.9999 0.0000 0.2492 [2 per cell]  2 Er 3.57-3.58, 4 Pr 3.58-3.59, 4 Tb 3.59, 2 Ho 3.60
Tb 0.5001 0.5000 0.2504 [2 per cell]  2 Ho 3.58, 4 Pr 3.58-3.59, 4 Tb 3.59, 2 Er 3.59
Pr 0.0000 0.5000 0.0000 [1 per cell]  8 Tb 3.58-3.59, 4 Er 3.59
Pr 0.5000 0.0000 0.5000 [1 per cell]  8 Tb 3.59, 4 Ho 3.59
Ho 0.0000 0.5000 0.5000 [1 per cell]  8 Tb 3.58-3.60, 4 Pr 3.59
Er 0.5000 0.0000 0.0000 [1 per cell]  8 Tb 3.57-3.59, 4 Pr 3.59